Entry 1:
A relaxed structure of CeDy2Ge, computed with PBE-GGA.

abc: 3.5906 3.5906 30.0178
angles: 90.00 90.00 120.00
Space group R-3m (No. 166, hexagonal axes)
One atom of each set of equivalent atoms:
Ce1 0.0000 0.0000 0.0000
Dy1 0.0000 0.0000 0.2363
Ge1 0.0000 0.0000 0.5000

Computed properties:
- spin magnetization (μB/cell) = 3.40
- N(E_F) (states/eV/atom) = 1.77
- mass density (Mg/m³) = 7.99
- ΔE to the lowest computed polymorph (kJ/mol of atoms) = 14.7

Entry 2:
A relaxed structure of CeDy2Ge2, computed with PBE-GGA.

abc: 14.0680 5.6484 8.6417
angles: 90.00 127.81 90.00
Space group C2/m (No. 12)
One atom of each set of equivalent atoms:
Ce1 0.1117 0.0000 0.1842
Dy1 0.1226 0.5000 0.8157
Dy2 0.1516 0.0000 0.5626
Ge1 0.1119 0.0000 0.8482
Ge2 0.1378 0.5000 0.4508

Computed properties:
- electronic total energy (eV/cell) = -107.80
- spin magnetization (μB/cell) = 3.89
- N(E_F) (states/eV/atom) = 1.34
- mass density (Mg/m³) = 7.47

Entry 3:
A relaxed structure of CeDyGe3, computed with PBE-GGA.

abc: 4.2256 26.8377 4.0067
angles: 90.00 90.00 90.00
Space group Cmcm (No. 63)
One atom of each set of equivalent atoms:
Ce1 0.0000 0.0736 0.2500
Dy1 0.0000 0.2037 0.7500
Ge1 0.0000 0.3139 0.7500
Ge2 0.0000 0.3766 0.2500
Ge3 0.0000 0.4717 0.2500

Computed properties:
- electronic total energy (eV/cell) = -111.21
- spin magnetization (μB/cell) = 2.59
- N(E_F) (states/eV/atom) = 1.37
- mass density (Mg/m³) = 7.61

Entry 4:
A relaxed structure of Ce2DyGe, computed with PBE-GGA.

abc: 4.2956 4.2579 11.1520
angles: 90.00 100.63 90.00
Space group P2_1/m (No. 11)
One atom of each set of equivalent atoms:
Ce1 0.0171 0.2500 0.1264
Ce2 0.4001 0.2500 0.8781
Dy1 0.3028 0.7500 0.6054
Ge1 0.1766 0.7500 0.3344

Computed properties:
- spin magnetization (μB/cell) = 0.00
- N(E_F) (states/eV/atom) = 1.73
- mass density (Mg/m³) = 8.54
- ΔE to the lowest computed polymorph (kJ/mol of atoms) = 0.0

Number 3 is which compound?
CeDyGe3

mass density of number 4 (Ce2DyGe)?
8.54 Mg/m³

Please write out number 2 again, unchanged.
A relaxed structure of CeDy2Ge2, computed with PBE-GGA.

abc: 14.0680 5.6484 8.6417
angles: 90.00 127.81 90.00
Space group C2/m (No. 12)
One atom of each set of equivalent atoms:
Ce1 0.1117 0.0000 0.1842
Dy1 0.1226 0.5000 0.8157
Dy2 0.1516 0.0000 0.5626
Ge1 0.1119 0.0000 0.8482
Ge2 0.1378 0.5000 0.4508

Computed properties:
- electronic total energy (eV/cell) = -107.80
- spin magnetization (μB/cell) = 3.89
- N(E_F) (states/eV/atom) = 1.34
- mass density (Mg/m³) = 7.47

Which of these has the highest spin magnetization?
CeDy2Ge2